*i*
This record from Alexandria via LeMat-Bulk describes a relaxed structure of KCaZn2. The functional is PBE.

Lattice parameters (Å, degrees): 7.7593 7.7593 7.7593 90.00 90.00 90.00
With the nearest neighbours (Å) after each atom.
Fractional coordinates of all 16 atoms:
1 K 0.0000 0.0000 0.0000  8 Zn 3.36
2 K 0.0000 0.5000 0.5000  8 Zn 3.36
3 K 0.5000 0.0000 0.5000  8 Zn 3.36
4 K 0.5000 0.5000 0.0000  8 Zn 3.36
5 Ca 0.0000 0.0000 0.5000  8 Zn 3.36
6 Ca 0.0000 0.5000 0.0000  8 Zn 3.36
7 Ca 0.5000 0.0000 0.0000  8 Zn 3.36
8 Ca 0.5000 0.5000 0.5000  8 Zn 3.36
9 Zn 0.2500 0.2500 0.2500  4 K 3.36, 4 Ca 3.36
10 Zn 0.2500 0.2500 0.7500  4 Ca 3.36, 4 K 3.36
11 Zn 0.2500 0.7500 0.2500  4 Ca 3.36, 4 K 3.36
12 Zn 0.2500 0.7500 0.7500  4 K 3.36, 4 Ca 3.36
13 Zn 0.7500 0.2500 0.2500  4 Ca 3.36, 4 K 3.36
14 Zn 0.7500 0.2500 0.7500  4 K 3.36, 4 Ca 3.36
15 Zn 0.7500 0.7500 0.2500  4 K 3.36, 4 Ca 3.36
16 Zn 0.7500 0.7500 0.7500  4 Ca 3.36, 4 K 3.36

Output
DOS(E_F)	3.68	states/eV/f.u.

=====

*ii*
This record from Alexandria via LeMat-Bulk describes a relaxed structure of KCaZn2. The functional is PBE.

Lattice parameters (Å, degrees): 7.4231 7.4231 7.4231 90.00 90.00 90.00
With the nearest neighbours (Å) after each atom.
Fractional coordinates of all 16 atoms:
1 K 0.0000 0.0000 0.0000  4 Ca 3.21, 4 Zn 3.21
2 K 0.0000 0.5000 0.5000  4 Ca 3.21, 4 Zn 3.21
3 K 0.5000 0.0000 0.5000  4 Ca 3.21, 4 Zn 3.21
4 K 0.5000 0.5000 0.0000  4 Ca 3.21, 4 Zn 3.21
5 Ca 0.2500 0.2500 0.7500  4 K 3.21, 4 Zn 3.21
6 Ca 0.2500 0.7500 0.2500  4 K 3.21, 4 Zn 3.21
7 Ca 0.7500 0.2500 0.2500  4 K 3.21, 4 Zn 3.21
8 Ca 0.7500 0.7500 0.7500  4 K 3.21, 4 Zn 3.21
9 Zn 0.0000 0.0000 0.5000  4 Ca 3.21, 4 Zn 3.21
10 Zn 0.0000 0.5000 0.0000  4 Ca 3.21, 4 Zn 3.21
11 Zn 0.2500 0.2500 0.2500  4 K 3.21, 4 Zn 3.21
12 Zn 0.2500 0.7500 0.7500  4 K 3.21, 4 Zn 3.21
13 Zn 0.5000 0.0000 0.0000  4 Ca 3.21, 4 Zn 3.21
14 Zn 0.5000 0.5000 0.5000  4 Zn 3.21, 4 Ca 3.21
15 Zn 0.7500 0.2500 0.7500  4 K 3.21, 4 Zn 3.21
16 Zn 0.7500 0.7500 0.2500  4 K 3.21, 4 Zn 3.21

Output
DOS(E_F)	4.40	states/eV/f.u.

=====

Of them, *i* has the highest stability.